# In2CuAu2

A relaxed In2CuAu2 crystal (PBE, Alexandria via LeMat-Bulk).

Calculated values
SG = No. 15
energy above the most stable polymorph in this dataset = 0 meV/atom

Unit cell a=5.5813 b=5.5813 c=7.3458 alpha=102.77 beta=102.77 gamma=62.87
Closest atoms and distances in Å follow each position.
Element x y z (fractional)
In 0.0196 0.2647 0.1444  2 Cu 2.80-2.97, 5 Au 2.86-3.05
In 0.2647 0.0196 0.6444  2 Cu 2.80-2.97, 5 Au 2.86-3.05
In 0.7353 0.9804 0.3556  2 Cu 2.80-2.97, 5 Au 2.86-3.05
In 0.9804 0.7353 0.8556  2 Cu 2.80-2.97, 5 Au 2.86-3.05
Cu 0.2559 0.7441 0.2500  4 Au 2.70-2.73, 4 In 2.80-2.97
Cu 0.7441 0.2559 0.7500  4 Au 2.70-2.73, 4 In 2.80-2.97
Au 0.2711 0.4592 0.5092  2 Cu 2.70-2.73, 2 Au 2.82-2.83, 3 In 2.86-2.96
Au 0.4592 0.2711 0.0092  2 Cu 2.70-2.73, 2 Au 2.82-2.83, 3 In 2.86-2.96
Au 0.5408 0.7289 0.9908  2 Cu 2.70-2.73, 2 Au 2.82-2.83, 3 In 2.86-2.96
Au 0.7289 0.5408 0.4908  2 Cu 2.70-2.73, 2 Au 2.82-2.83, 3 In 2.86-2.96



# Ba2MnTc

A relaxed Ba2MnTc crystal (PBE, Alexandria via LeMat-Bulk).

Calculated values
SG = No. 122
energy above the most stable polymorph in this dataset = 432 meV/atom

Unit cell a=8.8717 b=8.8717 c=8.8717 alpha=93.50 beta=93.50 gamma=151.38
Closest atoms and distances in Å follow each position.
Element x y z (fractional)
Ba 0.3750 0.1900 0.3150  2 Mn 3.19, 2 Tc 3.54
Ba 0.8100 0.1250 0.1850  2 Mn 3.19, 2 Tc 3.54
Ba 0.8750 0.0600 0.6850  2 Mn 3.19, 2 Tc 3.54
Ba 0.9400 0.6250 0.8150  2 Mn 3.19, 2 Tc 3.54
Mn 0.0000 0.0000 0.0000  2 Tc 2.19
Mn 0.7500 0.2500 0.5000  2 Tc 2.19
Tc 0.2500 0.7500 0.5000  2 Mn 2.19
Tc 0.5000 0.5000 0.0000  2 Mn 2.19



# RbTiN2O

A relaxed RbTiN2O crystal (PBE, Alexandria via LeMat-Bulk).

Calculated values
SG = No. 123
formation energy from raw total energies = -415 meV per atom

Unit cell a=4.2264 b=4.2264 c=3.9720 alpha=90.00 beta=90.00 gamma=90.00
Closest atoms and distances in Å follow each position.
Element x y z (fractional)
Rb 0.0000 0.0000 0.0000  8 N 2.90, 4 O 2.99
Ti 0.5000 0.5000 0.5000  2 O 1.99, 4 N 2.11
N 0.0000 0.5000 0.5000  2 Ti 2.11
N 0.5000 0.0000 0.5000  2 Ti 2.11
O 0.5000 0.5000 0.0000  2 Ti 1.99



# Ac6Sb2AsSe3

A relaxed Ac6Sb2AsSe3 crystal (PBE, Alexandria via LeMat-Bulk).

Calculated values
SG = No. 12
formation energy from raw total energies = -1609 meV per atom

Unit cell a=10.2652 b=10.2652 c=9.1699 alpha=102.32 beta=102.32 gamma=25.97
Closest atoms and distances in Å follow each position.
Element x y z (fractional)
Ac 0.0023 0.0023 0.2606  2 As 3.19, 3 Se 3.24-3.31, 1 Sb 3.30
Ac 0.3363 0.3363 0.9113  3 Se 3.20-3.21, 3 Sb 3.30-3.31
Ac 0.3372 0.3372 0.4251  1 As 3.18, 3 Se 3.21-3.30, 2 Sb 3.30
Ac 0.6628 0.6628 0.5749  1 As 3.18, 3 Se 3.21-3.30, 2 Sb 3.30
Ac 0.6637 0.6637 0.0887  3 Se 3.20-3.21, 3 Sb 3.30-3.31
Ac 0.9977 0.9977 0.7394  2 As 3.19, 3 Se 3.24-3.31, 1 Sb 3.30
Sb 0.1666 0.1666 0.8334  6 Ac 3.30-3.31
Sb 0.8334 0.8334 0.1666  6 Ac 3.30-3.31
As 0.5000 0.5000 0.5000  6 Ac 3.18-3.19
Se 0.1683 0.1683 0.3343  6 Ac 3.21-3.30
Se 0.5000 0.5000 0.0000  6 Ac 3.20-3.31
Se 0.8317 0.8317 0.6657  6 Ac 3.21-3.30



# NdCd2

A relaxed NdCd2 crystal (PBE, Alexandria via LeMat-Bulk).

Calculated values
SG = No. 139

Unit cell a=6.8775 b=6.8775 c=6.8775 alpha=150.70 beta=150.70 gamma=41.92
Closest atoms and distances in Å follow each position.
Element x y z (fractional)
Nd 0.0000 0.0000 0.0000  8 Cd 3.36, 4 Nd 3.48
Cd 0.3222 0.3222 0.0000  4 Cd 3.08, 4 Nd 3.36
Cd 0.6778 0.6778 0.0000  4 Cd 3.08, 4 Nd 3.36



# ReAs

A relaxed ReAs crystal (PBE, Alexandria via LeMat-Bulk).

Calculated values
SG = No. 186
energy above the most stable polymorph in this dataset = 866 meV/atom

Unit cell a=3.9958 b=3.9958 c=6.2959 alpha=90.00 beta=90.00 gamma=120.00
Closest atoms and distances in Å follow each position.
Element x y z (fractional)
Re 0.3333 0.6667 0.0000  4 As 2.40-2.42
Re 0.6667 0.3333 0.5000  4 As 2.40-2.42
As 0.3333 0.6667 0.6183  4 Re 2.40-2.42
As 0.6667 0.3333 0.1183  4 Re 2.40-2.42



The following DFT total energy values (in Ry per atom) correspond, in order, to the records above: -0.24298 -0.36821 -0.47845 -0.41224 -0.17897 -0.55912.
The following magnetic moment values (in μB/cell) correspond, in order, to the records above: 0.00 5.63 3.00 0.00 0.00 0.01.